Record 1
Entry from Alexandria: crystalline PdWBr2 at its relaxed geometry (PBE-GGA).

The structure in POSCAR format:
```
PdWBr2
1.0
7.5778 2.2268 4.4136
7.8542 -0.9713 4.3851
8.8245 0.7463 1.8526
Br Pd W
2 1 1
Direct
0.0955 0.0955 0.0955
0.9045 0.9045 0.9045
0.0000 0.0000 0.0000
0.5000 0.5000 0.5000
```

Computed properties:
D(E_F) in states/eV/cell: 1.90
E_form (uncorrected) in eV/atom: 0.509
Uncorrected energy in eV for the cell shown: -19.454
SG: R-3m, No. 166

***

Record 2
Entry from Alexandria: crystalline SmTlIn at its relaxed geometry (PBE-GGA).

The structure in POSCAR format:
```
SmTlIn
1.0
3.6482 0.0000 0.0000
0.0000 3.6482 0.0000
-1.8241 -1.8241 6.2756
Tl Sm In
1 1 1
Direct
0.2766 0.2766 0.5532
0.9524 0.9524 0.9048
0.6210 0.6210 0.2420
```

Computed properties:
D(E_F) in states/eV/cell: 2.46
Uncorrected energy in eV for the cell shown: -10.536
SG: I4mm, No. 107
Formation energy from the elements in meV per atom: -237

***

Record 3
Entry from Alexandria: crystalline Ac6Os2SI2 at its relaxed geometry (PBE-GGA).

The structure in POSCAR format:
```
Ac6Os2SI2
1.0
-6.9840 -2.0424 -2.3135
5.9017 -0.8568 -4.7683
1.6659 -6.9311 5.3971
Ac I Os S
6 2 2 1
Direct
0.0625 0.4108 0.6864
0.7104 0.7104 0.6825
0.4108 0.0625 0.6864
0.9375 0.5892 0.3136
0.2896 0.2896 0.3175
0.5892 0.9375 0.3136
0.8349 0.1651 0.0000
0.1651 0.8349 0.0000
0.3295 0.6705 0.5000
0.6705 0.3295 0.5000
0.0000 0.0000 0.5000
```

Computed properties:
D(E_F) in states/eV/cell: 7.38
E_form (uncorrected) in eV/atom: -0.762
Uncorrected energy in eV for the cell shown: -62.715
SG: C2/m, No. 12

***

Record 4
Entry from Alexandria: crystalline CaNb at its relaxed geometry (PBE-GGA).

The structure in POSCAR format:
```
CaNb
1.0
-6.0972 2.3148 8.3486
1.3971 -2.8323 1.8056
4.0325 3.1396 1.8047
Nb Ca
4 4
Direct
0.1446 0.0000 0.6387
0.1446 0.5000 0.1387
0.3208 0.5000 0.6513
0.3208 0.0000 0.1513
0.8927 0.5000 0.6150
0.8927 0.0000 0.1150
0.5727 0.5000 0.1895
0.5727 0.0000 0.6895
```

Computed properties:
D(E_F) in states/eV/cell: 9.65
Uncorrected energy in eV for the cell shown: -44.883
SG: Cm, No. 8
Formation energy from the elements in meV per atom: 425

***

Record 5
Entry from Alexandria: crystalline ZnTeOF at its relaxed geometry (PBE-GGA).

The structure in POSCAR format:
```
ZnTeOF
1.0
6.2019 0.0000 0.0027
0.0000 3.0960 0.0000
-6.1651 0.0000 7.1297
Te O F Zn
2 2 2 2
Direct
0.1243 0.0000 0.5258
0.1243 0.5000 0.0258
0.8534 0.5000 0.7479
0.8534 0.0000 0.2479
0.4854 0.0000 0.8816
0.4854 0.5000 0.3816
0.6178 0.5000 0.0776
0.6178 0.0000 0.5776
```

Computed properties:
D(E_F) in states/eV/cell: 4.43
E_form (uncorrected) in eV/atom: -1.227
Uncorrected energy in eV for the cell shown: -32.305
SG: Cm, No. 8

***

Record 6
Entry from Alexandria: crystalline KHoGeS4 at its relaxed geometry (PBE-GGA).

The structure in POSCAR format:
```
KHoGeS4
1.0
6.4919 0.0000 -0.0285
0.0000 6.7139 0.0000
-2.5824 0.0000 8.3936
S Ho K Ge
8 2 2 2
Direct
0.4346 0.7500 0.1707
0.0022 0.9959 0.7060
0.9978 0.4959 0.2940
0.9978 0.0041 0.2940
0.5654 0.2500 0.8293
0.4427 0.7500 0.5803
0.5573 0.2500 0.4197
0.0022 0.5041 0.7060
0.7773 0.7500 0.4491
0.2227 0.2500 0.5509
0.2608 0.2500 0.0617
0.7392 0.7500 0.9383
0.2316 0.7500 0.3310
0.7684 0.2500 0.6690
```

Computed properties:
D(E_F) in states/eV/cell: 0.00
E_form (uncorrected) in eV/atom: -1.238
Uncorrected energy in eV for the cell shown: -70.930
SG: P2_1/m, No. 11